(1)
{
  "formula": "ZrSc2Cd",
  "functional": "SCAN",
  "state": "PBEsol geometry",
  "energy_ev_per_atom": -22.44,
  "magnetic_moment_mub_per_cell": 1.058,
  "delta_e_f_mev_per_atom": -40,
  "cell": [[3.172, 0.000, 0.000], [-1.586, 2.747, 0.000], [0.000, 0.000, 30.758]],
  "species": ["Zr", "Zr", "Zr", "Sc", "Sc", "Sc", "Sc", "Sc", "Sc", "Cd", "Cd", "Cd"],
  "frac_coords": [[0.000, 0.000, 0.000], [0.333, 0.667, 0.667], [0.667, 0.333, 0.333], [0.000, 0.000, 0.502], [0.000, 0.000, 0.748], [0.333, 0.667, 0.169], [0.333, 0.667, 0.415], [0.667, 0.333, 0.081], [0.667, 0.333, 0.836], [0.000, 0.000, 0.250], [0.333, 0.667, 0.917], [0.667, 0.333, 0.583]]
}

***

(2)
{
  "formula": "TlZn4Si",
  "functional": "SCAN",
  "state": "PBEsol geometry",
  "energy_ev_per_atom": -22.38,
  "magnetic_moment_mub_per_cell": 0.000,
  "cell": [[0.000, 3.712, 3.712], [3.712, 0.000, 3.712], [3.712, 3.712, 0.000]],
  "species": ["Tl", "Zn", "Zn", "Zn", "Zn", "Si"],
  "frac_coords": [[0.000, 0.000, 0.000], [0.376, 0.376, 0.376], [0.376, 0.376, 0.873], [0.376, 0.873, 0.376], [0.873, 0.376, 0.376], [0.750, 0.750, 0.750]]
}

***

(3)
{
  "formula": "Cu3HI",
  "functional": "SCAN",
  "state": "PBEsol geometry",
  "energy_ev_per_atom": -16.54,
  "magnetic_moment_mub_per_cell": 0.000,
  "cell": [[4.038, 0.000, 0.000], [0.000, 4.038, 0.000], [0.000, 0.000, 4.038]],
  "species": ["Cu", "Cu", "Cu", "H", "I"],
  "frac_coords": [[0.000, 0.000, 0.500], [0.000, 0.500, 0.000], [0.500, 0.000, 0.000], [0.000, 0.000, 0.000], [0.500, 0.500, 0.500]]
}

***

(4)
{
  "formula": "Li2CuNi",
  "functional": "SCAN",
  "state": "PBEsol geometry",
  "energy_ev_per_atom": -9.00,
  "magnetic_moment_mub_per_cell": 0.633,
  "delta_e_f_mev_per_atom": 40,
  "cell": [[8.440, 0.000, 0.000], [0.000, 2.468, 0.000], [-0.618, 0.000, 4.519]],
  "species": ["Li", "Li", "Li", "Li", "Cu", "Cu", "Ni", "Ni"],
  "frac_coords": [[0.000, 0.000, 0.000], [0.237, 0.000, 0.744], [0.500, 0.500, 0.000], [0.737, 0.500, 0.744], [0.487, 0.000, 0.471], [0.987, 0.500, 0.471], [0.249, 0.500, 0.266], [0.749, 0.000, 0.266]]
}

***

(5)
{
  "formula": "LiLaTa2",
  "functional": "SCAN",
  "state": "PBEsol geometry",
  "energy_ev_per_atom": -44.16,
  "magnetic_moment_mub_per_cell": 0.000,
  "delta_e_f_mev_per_atom": 503,
  "cell": [[4.699, 0.000, 0.000], [0.000, 2.891, 0.000], [0.000, 0.000, 12.237]],
  "species": ["Li", "Li", "La", "La", "Ta", "Ta", "Ta", "Ta"],
  "frac_coords": [[0.000, 0.000, 0.000], [0.000, 0.500, 0.500], [0.500, 0.000, 0.378], [0.500, 0.500, 0.878], [0.000, 0.000, 0.707], [0.000, 0.500, 0.207], [0.500, 0.000, 0.133], [0.500, 0.500, 0.633]]
}

***

(6)
{
  "formula": "MgBe2Hg",
  "functional": "SCAN",
  "state": "PBEsol geometry",
  "energy_ev_per_atom": -20.34,
  "magnetic_moment_mub_per_cell": 0.000,
  "delta_e_f_mev_per_atom": 120,
  "cell": [[3.982, 0.000, 0.000], [-1.991, 3.449, 0.000], [0.000, 0.000, 13.398]],
  "species": ["Mg", "Mg", "Mg", "Be", "Be", "Be", "Be", "Be", "Be", "Hg", "Hg", "Hg"],
  "frac_coords": [[0.000, 0.000, 0.000], [0.333, 0.667, 0.667], [0.667, 0.333, 0.333], [0.000, 0.000, 0.201], [0.000, 0.000, 0.541], [0.333, 0.667, 0.208], [0.333, 0.667, 0.868], [0.667, 0.333, 0.535], [0.667, 0.333, 0.874], [0.000, 0.000, 0.795], [0.333, 0.667, 0.462], [0.667, 0.333, 0.128]]
}

***

(7)
{
  "formula": "LiAg4Sb",
  "functional": "SCAN",
  "state": "PBEsol geometry",
  "energy_ev_per_atom": -27.59,
  "magnetic_moment_mub_per_cell": 0.000,
  "cell": [[0.000, 3.849, 3.849], [3.849, 0.000, 3.849], [3.849, 3.849, 0.000]],
  "species": ["Li", "Ag", "Ag", "Ag", "Ag", "Sb"],
  "frac_coords": [[0.000, 0.000, 0.000], [0.124, 0.625, 0.625], [0.625, 0.124, 0.625], [0.625, 0.625, 0.124], [0.625, 0.625, 0.625], [0.250, 0.250, 0.250]]
}

***

(8)
{
  "formula": "CsAgO2",
  "functional": "SCAN",
  "state": "PBEsol geometry",
  "energy_ev_per_atom": -20.84,
  "magnetic_moment_mub_per_cell": 0.000,
  "cell": [[5.467, 0.000, 0.000], [0.000, 5.467, 0.000], [0.000, 0.000, 11.241]],
  "species": ["Cs", "Cs", "Cs", "Cs", "Ag", "Ag", "Ag", "Ag", "O", "O", "O", "O", "O", "O", "O", "O"],
  "frac_coords": [[0.000, 0.000, 0.000], [0.000, 0.500, 0.250], [0.500, 0.000, 0.750], [0.500, 0.500, 0.500], [0.000, 0.000, 0.500], [0.000, 0.500, 0.750], [0.500, 0.000, 0.250], [0.500, 0.500, 0.000], [0.090, 0.250, 0.625], [0.250, 0.590, 0.875], [0.250, 0.910, 0.375], [0.410, 0.250, 0.125], [0.590, 0.750, 0.125], [0.750, 0.090, 0.375], [0.750, 0.410, 0.875], [0.910, 0.750, 0.625]]
}